Record 1
VZn2AgPb: optimized geometry, PBE.

It has space group P4/mmm (No. 123), with a = 5.1718 Å, b = 5.1718 Å, c = 5.4123 Å, α = 90.00°, β = 90.00° and γ = 90.00°. The asymmetric unit holds V at (0.0000, 0.0000, 0.0000), Zn at (0.0000, 0.5000, 0.5000), Ag at (0.5000, 0.5000, 0.0000) and Pb at (0.0000, 0.0000, 0.5000).

Its formation enthalpy at 0 K is 1.10 eV/atom. Its crystal system is tetragonal.



Record 2
ErGa2Cu9: optimized geometry, PBE.

It has space group R-3m (No. 166, hexagonal axes), with a = 4.9610 Å, b = 4.9610 Å, c = 23.8624 Å, α = 90.00°, β = 90.00° and γ = 120.00°. The asymmetric unit holds Er at (0.0000, 0.0000, 0.0000), Ga at (0.0000, 0.0000, 0.1418), Cu at (0.0000, 0.0000, 0.3339), Cu at (0.0000, 0.0000, 0.5000) and Cu at (0.0052, 0.5026, 0.9140).

Its formation enthalpy at 0 K is -0.12 eV/atom. The distance to the lowest polymorph of the same formula comes out at 0.0344 eV/atom. Its crystal system is trigonal.



Record 3
HoMnPdRh: optimized geometry, PBE.

It has space group F-43m (No. 216), with a = 6.5459 Å, b = 6.5459 Å, c = 6.5459 Å, α = 90.00°, β = 90.00° and γ = 90.00°. The asymmetric unit holds Ho at (0.0000, 0.0000, 0.0000), Mn at (0.0000, 0.0000, 0.5000), Pd at (0.2500, 0.2500, 0.2500) and Rh at (0.2500, 0.2500, 0.7500).

Its formation enthalpy at 0 K is -0.53 eV/atom. Its crystal system is cubic.



Record 4
PaCd3O7: optimized geometry, PBE.

It has space group P1 (No. 1), with a = 5.9031 Å, b = 6.0246 Å, c = 6.2238 Å, α = 117.32°, β = 96.00° and γ = 112.40°. The asymmetric unit holds Pa at (0.0000, 0.0000, 0.0000), Cd at (0.2880, 0.5529, 0.6189), Cd at (0.6385, 0.1177, 0.5087), Cd at (0.7274, 0.5432, 0.2983), O at (0.0136, 0.3949, 0.2219), O at (0.2005, 0.2418, 0.7774), O at (0.3731, 0.1538, 0.8103), O at (0.3816, 0.2042, 0.3053), O at (0.6703, 0.8614, 0.6711), O at (0.7608, 0.8523, 0.1922) and O at (0.9626, 0.5902, 0.7482).

The total energy is -5.87 eV/atom. Its crystal system is triclinic.